Record 1
AlPdSeBr2: relaxed, PBE-GGA.

- Polymorph energy (0 for the lowest one): 3 meV per atom
- Magnetic moment: 0.7 μB per cell
- Density of states at the Fermi level: 4.1 states/eV per cell
- ΔE_f (raw): 0.080 eV/atom
- SG: No. 123

a b c (Å): 5.2489 5.2489 4.9314
angles (deg): 90.00 90.00 90.00
Positions (direct):
Al 0.0000 0.0000 0.0000
Pd 0.5000 0.5000 0.5000
Se 0.5000 0.5000 0.0000
Br 0.0000 0.5000 0.5000
Br 0.5000 0.0000 0.5000

=====

Record 2
AlTe2PdBr: relaxed, PBE-GGA.

- Magnetic moment: 0.0 μB per cell
- Density of states at the Fermi level: 5.0 states/eV per cell
- ΔE_f (raw): 0.952 eV/atom
- SG: No. 123

a b c (Å): 5.5472 5.5472 5.2386
angles (deg): 90.00 90.00 90.00
Positions (direct):
Al 0.0000 0.0000 0.0000
Te 0.0000 0.5000 0.5000
Te 0.5000 0.0000 0.5000
Pd 0.5000 0.5000 0.0000
Br 0.0000 0.0000 0.5000

=====

Record 3
PmAl2Br8: relaxed, PBE-GGA.

- Magnetic moment: 1.0 μB per cell
- Density of states at the Fermi level: 1.6 states/eV per cell
- ΔE_f (raw): -1.225 eV/atom
- SG: No. 12

a b c (Å): 8.5216 8.5216 6.8376
angles (deg): 97.02 97.02 71.11
Positions (direct):
Pm 0.0000 0.0000 0.0000
Al 0.1924 0.1924 0.6483
Al 0.8076 0.8076 0.3517
Br 0.0797 0.7140 0.2413
Br 0.1816 0.1816 0.2934
Br 0.2860 0.9203 0.7587
Br 0.3539 0.3539 0.7767
Br 0.6461 0.6461 0.2233
Br 0.7140 0.0797 0.2413
Br 0.8184 0.8184 0.7066
Br 0.9203 0.2860 0.7587

=====

Record 4
PmAlBr: relaxed, PBE-GGA.

- Magnetic moment: 0.0 μB per cell
- Density of states at the Fermi level: 1.7 states/eV per cell
- ΔE_f (raw): -1.112 eV/atom
- SG: No. 12

a b c (Å): 4.2902 4.2902 11.6967
angles (deg): 91.60 91.60 60.00
Positions (direct):
Pm 0.0094 0.0094 0.1832
Pm 0.9906 0.9906 0.8168
Al 0.3342 0.3342 0.0167
Al 0.6658 0.6658 0.9833
Br 0.3164 0.3164 0.6659
Br 0.6836 0.6836 0.3341

=====

Record 5
PmAlBr: relaxed, PBE-GGA.

- Magnetic moment: 0.0 μB per cell
- Density of states at the Fermi level: 1.6 states/eV per cell
- ΔE_f (raw): -1.113 eV/atom
- SG: No. 166

a b c (Å): 11.8657 11.8657 11.8657
angles (deg): 20.83 20.83 20.83
Positions (direct):
Pm 0.0615 0.0615 0.0615
Pm 0.9385 0.9385 0.9385
Al 0.3389 0.3389 0.3389
Al 0.6611 0.6611 0.6611
Br 0.2211 0.2211 0.2211
Br 0.7789 0.7789 0.7789

=====

Record 6
Pm6AlBr8: relaxed, PBE-GGA.

- Magnetic moment: 0.0 μB per cell
- Density of states at the Fermi level: 5.2 states/eV per cell
- ΔE_f (raw): -1.374 eV/atom
- SG: No. 148

a b c (Å): 11.6597 11.6597 11.6597
angles (deg): 36.65 36.65 36.65
Positions (direct):
Pm 0.1376 0.4473 0.7571
Pm 0.2429 0.8624 0.5527
Pm 0.4473 0.7571 0.1376
Pm 0.5527 0.2429 0.8624
Pm 0.7571 0.1376 0.4473
Pm 0.8624 0.5527 0.2429
Al 0.5000 0.5000 0.5000
Br 0.0530 0.7334 0.3932
Br 0.1667 0.1667 0.1667
Br 0.2666 0.6068 0.9470
Br 0.3932 0.0530 0.7334
Br 0.6068 0.9470 0.2666
Br 0.7334 0.3932 0.0530
Br 0.8333 0.8333 0.8333
Br 0.9470 0.2666 0.6068

=====

Record 7
Pm2Al2Br: relaxed, PBE-GGA.

- Magnetic moment: 0.0 μB per cell
- Density of states at the Fermi level: 2.1 states/eV per cell
- ΔE_f (raw): -0.804 eV/atom
- SG: No. 166

a b c (Å): 8.4939 8.4939 8.4939
angles (deg): 29.34 29.34 29.34
Positions (direct):
Pm 0.0830 0.0830 0.0830
Pm 0.9170 0.9170 0.9170
Al 0.3275 0.3275 0.3275
Al 0.6725 0.6725 0.6725
Br 0.5000 0.5000 0.5000

=====

Record 8
Pm3AlBr3: relaxed, PBE-GGA.

- Magnetic moment: 0.0 μB per cell
- Density of states at the Fermi level: 2.0 states/eV per cell
- ΔE_f (raw): -1.213 eV/atom
- SG: No. 221

a b c (Å): 5.9946 5.9946 5.9946
angles (deg): 90.00 90.00 90.00
Positions (direct):
Pm 0.0000 0.0000 0.5000
Pm 0.0000 0.5000 0.0000
Pm 0.5000 0.0000 0.0000
Al 0.0000 0.0000 0.0000
Br 0.0000 0.5000 0.5000
Br 0.5000 0.0000 0.5000
Br 0.5000 0.5000 0.0000